## P
A plane-wave DFT calculation with PBE-GGA was carried out for a relaxed Ac4SnHg crystal.

Summary:
**Total magnetic moment**: 0.000 μB/cell
**Crystal system**: tetragonal

a = 5.5812 Å, b = 5.5816 Å, c = 7.9594 Å
α = 89.98°, β = 89.99°, γ = 90.00°
With the nearest neighbours (Å) after each atom.
Sites, in units of the cell vectors:
Ac 0.0014 0.4973 0.7403  2 Hg 3.39, 2 Sn 3.46
Ac 0.0012 0.4972 0.2559  2 Hg 3.39, 2 Sn 3.46
Ac 0.5013 0.9975 0.7403  2 Hg 3.39, 2 Sn 3.46
Ac 0.5013 0.9971 0.2559  2 Hg 3.39, 2 Sn 3.46
Hg 0.0013 0.9973 0.4982  8 Ac 3.39
Sn 0.5013 0.4973 0.9981  8 Ac 3.46

---

## Q
A plane-wave DFT calculation with PBE-GGA was carried out for a relaxed Ac4SnHg crystal.

Summary:
**Total magnetic moment**: 0.005 μB/cell
**Crystal system**: cubic

a = 10.9476 Å, b = 10.9476 Å, c = 10.9476 Å
α = 60.00°, β = 60.00°, γ = 60.00°
With the nearest neighbours (Å) after each atom.
Sites, in units of the cell vectors:
Hg 0.5357 0.1548 0.1548  6 Ac 3.43-3.49
Hg 0.1548 0.5357 0.1548  6 Ac 3.43-3.49
Hg 0.1548 0.1548 0.5357  6 Ac 3.43-3.49
Hg 0.1548 0.1548 0.1548  6 Ac 3.43-3.49
Ac 0.5617 0.9383 0.9383  2 Sn 3.39
Ac 0.9383 0.5617 0.5617  2 Sn 3.39
Ac 0.9383 0.9383 0.5617  2 Sn 3.39
Ac 0.8094 0.8094 0.1906  2 Hg 3.43
Ac 0.1906 0.8094 0.1906  2 Hg 3.43
Ac 0.9383 0.5617 0.9383  2 Sn 3.39
Ac 0.8094 0.1906 0.8094  2 Hg 3.43
Ac 0.5617 0.5617 0.9383  2 Sn 3.39
Ac 0.5617 0.9383 0.5617  2 Sn 3.39
Ac 0.3759 0.8723 0.3759  3 Sn 3.48, 3 Hg 3.49
Ac 0.3759 0.3759 0.8723  3 Sn 3.48, 3 Hg 3.49
Ac 0.3759 0.3759 0.3759  3 Sn 3.48, 3 Hg 3.49
Ac 0.8723 0.3759 0.3759  3 Sn 3.48, 3 Hg 3.49
Ac 0.8094 0.1906 0.1906  2 Hg 3.43
Ac 0.1906 0.1906 0.8094  2 Hg 3.43
Ac 0.1906 0.8094 0.8094  2 Hg 3.43
Sn 0.5973 0.5973 0.2080  6 Ac 3.39-3.48
Sn 0.5973 0.5973 0.5973  6 Ac 3.39-3.48
Sn 0.2080 0.5973 0.5973  6 Ac 3.39-3.48
Sn 0.5973 0.2080 0.5973  6 Ac 3.39-3.48

---

The relative energies come out as P 0.094; Q 0.000, with values in eV/atom.

---

## P
A plane-wave DFT calculation with PBE-GGA was carried out for a relaxed Ac2Sn3Hg crystal.

Summary:
**Total magnetic moment**: 0.000 μB/cell
**Crystal system**: orthorhombic

a = 4.4657 Å, b = 4.9916 Å, c = 8.5519 Å
α = 90.00°, β = 90.00°, γ = 90.00°
With the nearest neighbours (Å) after each atom.
Sites, in units of the cell vectors:
Ac 0.0000 0.5000 0.9968  2 Hg 3.62, 10 Sn 3.62-3.67
Ac 0.0000 0.0000 0.5037  8 Sn 3.61, 4 Hg 3.66
Sn 0.5000 0.0000 0.1724  2 Hg 2.84, 1 Sn 2.89
Sn 0.5000 0.5000 0.6622  1 Hg 2.84, 2 Sn 2.90
Sn 0.5000 0.0000 0.8349  3 Sn 2.89-2.90
Hg 0.5000 0.5000 0.3299  3 Sn 2.84

---

## Q
A plane-wave DFT calculation with PBE-GGA was carried out for a relaxed Ac2Sn3Hg crystal.

Summary:
**Total magnetic moment**: 0.000 μB/cell
**Crystal system**: monoclinic

a = 4.8139 Å, b = 6.7329 Å, c = 6.7265 Å
α = 71.92°, β = 69.03°, γ = 69.05°
With the nearest neighbours (Å) after each atom.
Sites, in units of the cell vectors:
Ac 0.4422 0.8032 0.3124  7 Sn 3.48-3.67, 3 Hg 3.55-3.69
Ac 0.5634 0.1829 0.6904  8 Sn 3.45-3.64, 2 Hg 3.55
Hg 0.1599 0.3952 0.2851  4 Sn 2.96-3.16
Sn 0.8359 0.2146 0.1136  2 Hg 2.96, 2 Sn 3.16-3.17
Sn 0.8479 0.6017 0.7026  3 Sn 3.08-3.16, 1 Hg 3.16
Sn 0.1508 0.8024 0.8960  3 Sn 3.08-3.17, 1 Hg 3.15, 2 Ac 3.45

---

The relative energies come out as P 0.017; Q 0.000, with values in eV/atom.

---

## P
A plane-wave DFT calculation with PBE-GGA was carried out for a relaxed AcSnHg crystal.

Summary:
**Total magnetic moment**: 0.000 μB/cell
**Crystal system**: monoclinic

a = 4.7710 Å, b = 4.7202 Å, c = 9.1074 Å
α = 105.17°, β = 105.18°, γ = 90.00°
With the nearest neighbours (Å) after each atom.
Sites, in units of the cell vectors:
Hg 0.4196 0.7884 0.8392  3 Sn 2.88-2.92
Hg 0.1581 0.1707 0.3163  3 Sn 2.82-2.84
Sn 0.2519 0.7655 0.5037  3 Hg 2.84-2.92
Sn 0.9928 0.0801 0.9855  3 Hg 2.82-2.88
Ac 0.5876 0.6036 0.1753  5 Hg 3.30-3.57, 4 Sn 3.51-3.66
Ac 0.8238 0.3334 0.6475  4 Hg 3.34-3.68, 5 Sn 3.49-3.58

---

## Q
A plane-wave DFT calculation with PBE-GGA was carried out for a relaxed AcSnHg crystal.

Summary:
**Total magnetic moment**: 0.000 μB/cell
**Crystal system**: trigonal

a = 6.2061 Å, b = 10.6132 Å, c = 10.6132 Å
α = 116.30°, β = 101.24°, γ = 101.24°
With the nearest neighbours (Å) after each atom.
Sites, in units of the cell vectors:
Hg 0.1477 0.5545 0.3553  2 Hg 3.05, 1 Sn 3.06, 3 Ac 3.37-3.39
Hg 0.8523 0.4455 0.6447  2 Hg 3.05, 1 Sn 3.06, 3 Ac 3.37-3.39
Hg 0.7925 0.6447 0.1992  2 Hg 3.05, 1 Sn 3.06, 3 Ac 3.37-3.39
Hg 0.2075 0.3553 0.8008  2 Hg 3.05, 1 Sn 3.06, 3 Ac 3.37-3.39
Hg 0.5932 0.8008 0.4455  2 Hg 3.05, 1 Sn 3.06, 3 Ac 3.37-3.39
Hg 0.4068 0.1992 0.5545  2 Hg 3.05, 1 Sn 3.06, 3 Ac 3.37-3.39
Ac 0.8231 0.0978 0.4061  5 Hg 3.37-3.76, 4 Sn 3.42-3.74
Ac 0.2747 0.6916 0.0978  5 Hg 3.37-3.76, 4 Sn 3.42-3.74
Ac 0.1769 0.9022 0.5939  5 Hg 3.37-3.76, 4 Sn 3.42-3.74
Ac 0.7253 0.3084 0.9022  5 Hg 3.37-3.76, 4 Sn 3.42-3.74
Ac 0.5831 0.4061 0.3084  5 Hg 3.37-3.76, 4 Sn 3.42-3.74
Ac 0.4169 0.5939 0.6916  5 Hg 3.37-3.76, 4 Sn 3.42-3.74
Sn 0.7258 0.9499 0.7836  1 Hg 3.06, 2 Sn 3.08, 1 Ac 3.42
Sn 0.0578 0.7836 0.8337  1 Hg 3.06, 2 Sn 3.08, 1 Ac 3.42
Sn 0.7759 0.8337 0.0501  1 Hg 3.06, 2 Sn 3.08, 1 Ac 3.42
Sn 0.2742 0.0501 0.2164  1 Hg 3.06, 2 Sn 3.08, 1 Ac 3.42
Sn 0.9422 0.2164 0.1663  1 Hg 3.06, 2 Sn 3.08, 1 Ac 3.42
Sn 0.2241 0.1663 0.9499  1 Hg 3.06, 2 Sn 3.08, 1 Ac 3.42

---

The relative energies come out as P 0.000; Q 0.144, with values in eV/atom.

---

## P
A plane-wave DFT calculation with PBE-GGA was carried out for a relaxed AcSnHg crystal.

Summary:
**Total magnetic moment**: 0.000 μB/cell
**Crystal system**: orthorhombic

a = 4.8792 Å, b = 6.6220 Å, c = 6.6220 Å
α = 72.80°, β = 68.38°, γ = 68.38°
With the nearest neighbours (Å) after each atom.
Sites, in units of the cell vectors:
Hg 0.3059 0.0014 0.3867  3 Sn 2.97-3.15, 1 Hg 3.03
Hg 0.3059 0.3867 0.0014  3 Sn 2.97-3.15, 1 Hg 3.03
Ac 0.9106 0.5894 0.5894  6 Sn 3.55-3.57, 4 Hg 3.57
Ac 0.0160 0.9840 0.9840  6 Hg 3.49-3.66, 4 Sn 3.53
Sn 0.6270 0.1690 0.5770  3 Hg 2.97-3.15, 1 Sn 3.21
Sn 0.6270 0.5770 0.1690  3 Hg 2.97-3.15, 1 Sn 3.21

---

## Q
A plane-wave DFT calculation with PBE-GGA was carried out for a relaxed AcSnHg crystal.

Summary:
**Total magnetic moment**: 0.000 μB/cell
**Crystal system**: trigonal

a = 4.6732 Å, b = 4.8384 Å, c = 4.8384 Å
α = 120.00°, β = 90.00°, γ = 90.00°
With the nearest neighbours (Å) after each atom.
Sites, in units of the cell vectors:
Hg 0.2530 0.6667 0.3333  3 Sn 2.89
Ac 0.6507 0.3333 0.6667  3 Hg 3.36, 3 Sn 3.48
Sn 0.0962 0.0000 0.0000  3 Hg 2.89

---

## R
A plane-wave DFT calculation with PBE-GGA was carried out for a relaxed AcSnHg crystal.

Summary:
**Total magnetic moment**: 0.000 μB/cell
**Crystal system**: tetragonal

a = 3.9610 Å, b = 3.9610 Å, c = 6.5192 Å
α = 107.69°, β = 107.69°, γ = 90.00°
With the nearest neighbours (Å) after each atom.
Sites, in units of the cell vectors:
Sn 0.6852 0.6852 0.3704  4 Hg 3.22, 4 Ac 3.59
Ac 0.9938 0.9938 0.9876  5 Hg 3.46-3.85, 5 Sn 3.59-3.63
Hg 0.3210 0.3210 0.6420  4 Sn 3.22, 4 Ac 3.46

---

The relative energies come out as P 0.045; Q 0.000; R 0.176, with values in eV/atom.